Entry 1:
Entry from Alexandria: a crystal of AsP2AuCl relaxed with PBEsol (meta-GGA SCAN).

Computed properties:
Magnetization ... 1.148 μB per formula unit
DFT total energy ... -22.656 eV/atom
Calculated volume ... 20.8 A^3/atom

Cell lengths 4.6156, 4.7501, 4.7501 Å; angles 90.00, 90.00, 90.00 degrees
Last column: magnetic moment on the atom in μB.
Element x y z (fractional)
Cl  0.5000  0.0000  0.0000  0.07
Au  0.5000  0.5000  0.5000  0.05
P  0.0000  0.0000  0.5000  0.25
P  0.0000  0.5000  0.0000  0.25
As  0.0000  0.0000  0.0000  0.00



Entry 2:
Entry from Alexandria: a crystal of CoAsAu2 relaxed with PBEsol (meta-GGA SCAN).

Computed properties:
Calculated formation energy ... 0.299 eV/atom
Magnetization ... 1.923 μB per formula unit
DFT total energy ... -43.653 eV/atom
Calculated volume ... 15.7 A^3/atom

Cell lengths 2.8069, 4.9149, 4.9149 Å; angles 112.29, 90.00, 90.00 degrees
Last column: magnetic moment on the atom in μB.
Element x y z (fractional)
Co  0.5000  0.0000  0.0000  2.00
As  0.5000  0.5000  0.5000  0.03
Au  0.0000  0.5000  0.0000  -0.01
Au  0.0000  0.0000  0.5000  -0.01



Entry 3:
Entry from Alexandria: a crystal of CoAsAu2 relaxed with PBEsol (meta-GGA SCAN).

Computed properties:
Calculated formation energy ... 0.272 eV/atom
Magnetization ... 1.648 μB per formula unit
DFT total energy ... -43.680 eV/atom
Calculated volume ... 16.5 A^3/atom

Cell lengths 5.1438, 5.6851, 5.6851 Å; angles 78.19, 63.10, 63.10 degrees
Last column: magnetic moment on the atom in μB.
Element x y z (fractional)
As  0.7500  0.5000  0.5000  0.05
Au  0.3750  0.4946  0.0054  -0.01
Au  0.8750  0.5054  0.9946  -0.01
As  0.0000  0.0000  0.0000  0.05
Co  0.2500  0.5000  0.5000  -1.71
Au  0.1304  0.9946  0.4946  -0.01
Au  0.6196  0.0054  0.5054  -0.01
Co  0.5000  0.0000  0.0000  -1.71



Entry 4:
Entry from Alexandria: a crystal of CoAsAuSe2 relaxed with PBEsol (meta-GGA SCAN).

Computed properties:
Magnetization ... 2.062 μB per formula unit
DFT total energy ... -28.278 eV/atom
Calculated volume ... 24.4 A^3/atom

Cell lengths 4.7844, 5.0477, 5.0477 Å; angles 90.00, 90.00, 90.00 degrees
Last column: magnetic moment on the atom in μB.
Element x y z (fractional)
Se  0.0000  0.5000  0.0000  0.03
Se  0.0000  0.0000  0.5000  0.03
Au  0.0000  0.0000  0.0000  -0.03
As  0.5000  0.0000  0.0000  -0.29
Co  0.5000  0.5000  0.5000  2.46



Entry 5:
Entry from Alexandria: a crystal of Cs2As2Au relaxed with PBEsol (meta-GGA SCAN).

Computed properties:
Calculated formation energy ... -0.282 eV/atom
Magnetization ... 0.000 μB per formula unit
DFT total energy ... -37.314 eV/atom
Calculated volume ... 31.5 A^3/atom

Cell lengths 3.8242, 3.8242, 11.1041 Å; angles 99.92, 99.92, 90.00 degrees
Element x y z (fractional)
Cs  0.3953  0.3953  0.7907
Au  0.0000  0.0000  0.0000
As  0.7500  0.2500  0.5000
As  0.2500  0.7500  0.5000
Cs  0.6047  0.6047  0.2093



Entry 6:
Entry from Alexandria: a crystal of CsAsAu3 relaxed with PBEsol (meta-GGA SCAN).

Computed properties:
Calculated formation energy ... -0.213 eV/atom
Magnetization ... 0.000 μB per formula unit
DFT total energy ... -53.307 eV/atom
Calculated volume ... 26.1 A^3/atom

Cell lengths 5.0698, 5.0698, 5.0698 Å; angles 90.00, 90.00, 90.00 degrees
Element x y z (fractional)
As  0.0000  0.0000  0.0000
Au  0.0000  0.5000  0.0000
Au  0.0000  0.0000  0.5000
Cs  0.5000  0.5000  0.5000
Au  0.5000  0.0000  0.0000



Entry 7:
Entry from Alexandria: a crystal of CsTaAsAu2 relaxed with PBEsol (meta-GGA SCAN).

Computed properties:
Calculated formation energy ... 1.205 eV/atom
Magnetization ... 0.436 μB per formula unit
DFT total energy ... -51.375 eV/atom
Calculated volume ... 30.4 A^3/atom

Cell lengths 5.0528, 5.0528, 5.9613 Å; angles 90.00, 90.00, 90.00 degrees
Last column: magnetic moment on the atom in μB.
Element x y z (fractional)
Au  0.5000  0.0000  0.0000  0.02
Au  0.0000  0.5000  0.0000  0.02
Ta  0.0000  0.0000  0.0000  -0.90
Cs  0.0000  0.0000  0.5000  -0.03
As  0.5000  0.5000  0.5000  0.87



Entry 8:
Entry from Alexandria: a crystal of CuAs2Au relaxed with PBEsol (meta-GGA SCAN).

Computed properties:
Calculated formation energy ... 0.220 eV/atom
Magnetization ... 0.000 μB per formula unit
DFT total energy ... -30.964 eV/atom
Energy above the most stable polymorph in this dataset ... 0.000 eV/atom
Calculated volume ... 16.6 A^3/atom

Cell lengths 3.5056, 4.4302, 4.4302 Å; angles 105.42, 90.00, 90.00 degrees
Element x y z (fractional)
Au  0.5000  0.0000  0.0000
Cu  0.5000  0.5000  0.5000
As  0.0000  0.0000  0.5000
As  0.0000  0.5000  0.0000



Entry 9:
Entry from Alexandria: a crystal of CuAsAu relaxed with PBEsol (meta-GGA SCAN).

Computed properties:
Calculated formation energy ... 0.052 eV/atom
Magnetization ... 0.000 μB per formula unit
DFT total energy ... -34.797 eV/atom
Energy above the most stable polymorph in this dataset ... 0.000 eV/atom
Calculated volume ... 17.8 A^3/atom

Cell lengths 4.2277, 4.2277, 4.2277 Å; angles 60.00, 60.00, 60.00 degrees
Element x y z (fractional)
Cu  0.0000  0.0000  0.0000
Au  0.2500  0.2500  0.2500
As  0.5000  0.5000  0.5000



Entry 10:
Entry from Alexandria: a crystal of CuAsAu2 relaxed with PBEsol (meta-GGA SCAN).

Computed properties:
Calculated formation energy ... 0.128 eV/atom
Magnetization ... 0.000 μB per formula unit
DFT total energy ... -43.298 eV/atom
Calculated volume ... 16.0 A^3/atom

Cell lengths 3.9808, 3.9808, 4.9195 Å; angles 113.87, 113.87, 90.00 degrees
Element x y z (fractional)
Au  0.7500  0.2500  0.5000
Au  0.2500  0.7500  0.5000
As  0.0000  0.0000  0.0000
Cu  0.5000  0.5000  0.0000



Entry 11:
Entry from Alexandria: a crystal of CuAsAu relaxed with PBEsol (meta-GGA SCAN).

Computed properties:
Calculated formation energy ... 0.110 eV/atom
Magnetization ... 0.000 μB per formula unit
DFT total energy ... -34.739 eV/atom
Energy above the most stable polymorph in this dataset ... 0.057 eV/atom
Calculated volume ... 15.7 A^3/atom

Cell lengths 2.8250, 2.8250, 6.2176 Å; angles 103.29, 103.13, 90.00 degrees
Element x y z (fractional)
Cu  0.3364  0.3370  0.6727
Au  0.6811  0.6807  0.3622
As  0.9825  0.9823  0.9651



Entry 12:
Entry from Alexandria: a crystal of Cu2AsAu relaxed with PBEsol (meta-GGA SCAN).

Computed properties:
Calculated formation energy ... 0.070 eV/atom
Magnetization ... 0.000 μB per formula unit
DFT total energy ... -29.867 eV/atom
Calculated volume ... 14.4 A^3/atom

Cell lengths 2.8309, 4.6301, 4.6703 Å; angles 98.17, 90.00, 107.80 degrees
Element x y z (fractional)
Cu  0.2540  0.5080  0.7473
As  0.5075  0.0150  0.5375
Cu  0.9945  0.9889  0.9853
Au  0.7441  0.4882  0.2299